[1]
Material: MnPtBr4
Method: DFT, PBE-GGA
State: relaxed

Calculated values
DOS at the Fermi energy = 7.8 states/eV/f.u.
uncorrected formation energy = 1.1609 eV per atom
size of the total moment = 18.50 Bohr magnetons per cell
calculated density = 6.080 g/cm3
electronic total energy = -59.75 eV/cell

Cell lengths 8.5376, 8.5376, 8.5376 Å; angles 90.00, 90.00, 90.00 degrees
Space group F-43m (No. 216)
Asymmetric unit:
Mn (0.0000, 0.0000, 0.0000)
Pt (0.2500, 0.2500, 0.7500)
Br (0.1245, 0.1245, 0.3755)



[2]
Material: Tb2YTm4
Method: DFT, PBE-GGA
State: relaxed

Calculated values
DOS at the Fermi energy = 11.5 states/eV/f.u.
size of the total moment = 0.17 Bohr magnetons per cell
ΔE to the lowest computed polymorph = 0 meV/atom
calculated density = 8.255 g/cm3
electronic total energy = -67.19 eV/cell

Cell lengths 6.1931, 3.5762, 19.7710 Å; angles 90.00, 95.98, 90.00 degrees
Space group Cm (No. 8)
Asymmetric unit:
Tb (0.0000, 0.0000, 0.0000)
Tb (0.0951, 0.0000, 0.2868)
Y (0.1904, 0.0000, 0.5738)
Tm (0.2856, 0.0000, 0.8571)
Tm (0.3090, 0.5000, 0.4303)
Tm (0.3812, 0.0000, 0.1435)
Tm (0.4052, 0.5000, 0.7172)



[3]
Material: BiPb3Au2
Method: DFT, PBE-GGA
State: relaxed

Calculated values
DOS at the Fermi energy = 3.7 states/eV/f.u.
size of the total moment = 0.00 Bohr magnetons per cell
ΔE to the lowest computed polymorph = 30 meV/atom
calculated density = 11.475 g/cm3
electronic total energy = -86.71 eV/cell

Cell lengths 6.9248, 14.1499, 7.2334 Å; angles 90.00, 90.00, 90.00 degrees
Space group Ibam (No. 72)
Asymmetric unit:
Bi (0.0000, 0.0000, 0.0000)
Pb (0.0000, 0.2145, 0.2500)
Pb (0.0000, 0.5000, 0.2500)
Au (0.1760, 0.3576, 0.0000)



[4]
Material: NaPrTm4S8
Method: DFT, PBE-GGA
State: relaxed

Calculated values
DOS at the Fermi energy = 0.0 states/eV/f.u.
uncorrected formation energy = -1.9354 eV per atom
size of the total moment = 0.00 Bohr magnetons per cell
calculated density = 4.878 g/cm3
electronic total energy = -252.30 eV/cell

Cell lengths 8.0114, 8.0114, 20.1396 Å; angles 90.00, 90.00, 120.00 degrees
Space group R3m (No. 160, hexagonal axes)
Asymmetric unit:
Na (0.0000, 0.0000, 0.0000)
Pr (0.0000, 0.0000, 0.3683)
Tm (0.0000, 0.0000, 0.7461)
Tm (0.0122, 0.5061, 0.8736)
S (0.0000, 0.0000, 0.1346)
S (0.0000, 0.0000, 0.6142)
S (0.0126, 0.5063, 0.1286)
S (0.1782, 0.3564, 0.9472)



[5]
Material: CeNpTl2S4
Method: DFT, PBE-GGA
State: relaxed

Calculated values
DOS at the Fermi energy = 14.1 states/eV/f.u.
uncorrected formation energy = -1.2152 eV per atom
size of the total moment = 5.00 Bohr magnetons per cell
calculated density = 6.883 g/cm3
electronic total energy = -49.84 eV/cell

Cell lengths 7.1356, 4.1209, 7.8687 Å; angles 90.00, 107.61, 90.00 degrees
Space group P2/m (No. 10)
Asymmetric unit:
Ce (0.0000, 0.0000, 0.0000)
Np (0.5000, 0.5000, 0.0000)
Tl (0.0000, 0.5000, 0.5000)
Tl (0.5000, 0.0000, 0.5000)
S (0.2381, 0.5000, 0.1994)
S (0.2746, 0.0000, 0.8051)



[6]
Material: Pu2Tl3RhSe6
Method: DFT, PBE-GGA
State: relaxed

Calculated values
DOS at the Fermi energy = 18.2 states/eV/f.u.
uncorrected formation energy = -0.8076 eV per atom
size of the total moment = 19.95 Bohr magnetons per cell
calculated density = 8.515 g/cm3
electronic total energy = -147.43 eV/cell

Cell lengths 6.9244, 12.0941, 8.1598 Å; angles 90.00, 106.74, 90.00 degrees
Space group C2/m (No. 12)
Asymmetric unit:
Pu (0.0000, 0.1641, 0.0000)
Tl (0.0000, 0.0000, 0.5000)
Tl (0.0000, 0.3208, 0.5000)
Rh (0.0000, 0.5000, 0.0000)
Se (0.2164, 0.3466, 0.1936)
Se (0.2354, 0.5000, 0.7946)



[7]
Material: LiZrSc2
Method: DFT, PBE-GGA
State: relaxed

Calculated values
DOS at the Fermi energy = 5.1 states/eV/f.u.
size of the total moment = 0.01 Bohr magnetons per cell
ΔE to the lowest computed polymorph = 76 meV/atom
calculated density = 3.376 g/cm3
electronic total energy = -67.85 eV/cell

Cell lengths 3.1541, 3.1541, 32.2105 Å; angles 90.00, 90.00, 120.00 degrees
Space group R3m (No. 160, hexagonal axes)
Asymmetric unit:
Li (0.0000, 0.0000, 0.0000)
Zr (0.0000, 0.0000, 0.2493)
Sc (0.0000, 0.0000, 0.5035)
Sc (0.0000, 0.0000, 0.7508)



[8]
Material: In2ReTe
Method: DFT, PBE-GGA
State: relaxed

Calculated values
DOS at the Fermi energy = 3.1 states/eV/f.u.
uncorrected formation energy = 0.5494 eV per atom
size of the total moment = 0.00 Bohr magnetons per cell
calculated density = 9.635 g/cm3
electronic total energy = -18.87 eV/cell

Cell lengths 3.1904, 3.1904, 9.2015 Å; angles 90.00, 90.00, 90.00 degrees
Space group P4/mmm (No. 123)
Asymmetric unit:
In (0.0000, 0.0000, 0.1849)
Re (0.5000, 0.5000, 0.0000)
Te (0.5000, 0.5000, 0.5000)



The highest DOS at the Fermi energy belongs to which entry? Pu2Tl3RhSe6



Which of these has the highest DOS at the Fermi energy? Pu2Tl3RhSe6



Repeat the fifth record exactly.
Material: CeNpTl2S4
Method: DFT, PBE-GGA
State: relaxed

Calculated values
DOS at the Fermi energy = 14.1 states/eV/f.u.
uncorrected formation energy = -1.2152 eV per atom
size of the total moment = 5.00 Bohr magnetons per cell
calculated density = 6.883 g/cm3
electronic total energy = -49.84 eV/cell

Cell lengths 7.1356, 4.1209, 7.8687 Å; angles 90.00, 107.61, 90.00 degrees
Space group P2/m (No. 10)
Asymmetric unit:
Ce (0.0000, 0.0000, 0.0000)
Np (0.5000, 0.5000, 0.0000)
Tl (0.0000, 0.5000, 0.5000)
Tl (0.5000, 0.0000, 0.5000)
S (0.2381, 0.5000, 0.1994)
S (0.2746, 0.0000, 0.8051)



Look up the calculated density of the first one. 6.080 g/cm3